Entry 1:
## Li2AlAg5 (GGA-PBE)

Data for Li2AlAg5 after structural relaxation.

Structure (CIF):
```
data_Li2AlAg5
_chemical_formula_sum 'Li4 Al2 Ag10'
_cell_length_a 4.292
_cell_length_b 5.570
_cell_length_c 11.065
_cell_angle_alpha 90.00
_cell_angle_beta 90.00
_cell_angle_gamma 90.00
_space_group_name_H-M_alt 'P 1'
_space_group_IT_number 1
loop_
_space_group_symop_operation_xyz
'x,y,z'
loop_
_atom_site_label
_atom_site_type_symbol
_atom_site_fract_x
_atom_site_fract_y
_atom_site_fract_z
Ag1 Ag 0.000 0.000 0.000
Ag2 Ag 0.000 0.076 0.258
Ag3 Ag 0.500 0.806 0.388
Ag4 Ag 0.000 0.576 0.242
Ag5 Ag 0.500 0.194 0.612
Ag6 Ag 0.000 0.924 0.742
Ag7 Ag 0.500 0.306 0.112
Ag8 Ag 0.000 0.500 0.500
Ag9 Ag 0.500 0.694 0.888
Ag10 Ag 0.000 0.424 0.758
Al1 Al 0.000 0.000 0.500
Al2 Al 0.000 0.500 0.000
Li1 Li 0.500 0.690 0.634
Li2 Li 0.500 0.190 0.866
Li3 Li 0.500 0.310 0.366
Li4 Li 0.500 0.810 0.134
```

Computed properties:
E: -2.900 eV per atom
distance to the lowest polymorph of the same formula: 0 meV per atom



Entry 2:
## Li2AlAg8 (GGA-PBE)

Data for Li2AlAg8 after structural relaxation.

Structure (CIF):
```
data_Li2AlAg8
_chemical_formula_sum 'Li2 Al1 Ag8'
_cell_length_a 4.466
_cell_length_b 6.950
_cell_length_c 7.410
_cell_angle_alpha 117.97
_cell_angle_beta 107.54
_cell_angle_gamma 90.00
_space_group_name_H-M_alt 'P 1'
_space_group_IT_number 1
loop_
_space_group_symop_operation_xyz
'x,y,z'
loop_
_atom_site_label
_atom_site_type_symbol
_atom_site_fract_x
_atom_site_fract_y
_atom_site_fract_z
Ag1 Ag 0.353 0.142 0.706
Ag2 Ag 0.647 0.858 0.294
Ag3 Ag 0.846 0.846 0.691
Ag4 Ag 0.353 0.565 0.706
Ag5 Ag 0.647 0.435 0.294
Ag6 Ag 0.154 0.154 0.309
Ag7 Ag 0.000 0.300 0.000
Ag8 Ag 0.000 0.700 0.000
Al1 Al 0.500 0.000 0.000
Li1 Li 0.203 0.703 0.406
Li2 Li 0.797 0.297 0.594
```

Computed properties:
E: -2.828 eV per atom
distance to the lowest polymorph of the same formula: 25 meV per atom



Entry 3:
## Li8Al2Ag (GGA-PBE)

Data for Li8Al2Ag after structural relaxation.

Structure (CIF):
```
data_Li8Al2Ag
_chemical_formula_sum 'Li8 Al2 Ag1'
_cell_length_a 4.780
_cell_length_b 5.865
_cell_length_c 7.687
_cell_angle_alpha 111.41
_cell_angle_beta 106.90
_cell_angle_gamma 93.05
_space_group_name_H-M_alt 'P 1'
_space_group_IT_number 1
loop_
_space_group_symop_operation_xyz
'x,y,z'
loop_
_atom_site_label
_atom_site_type_symbol
_atom_site_fract_x
_atom_site_fract_y
_atom_site_fract_z
Li1 Li 0.289 0.583 0.000
Li2 Li 0.166 0.353 0.250
Li3 Li 0.834 0.647 0.750
Li4 Li 0.702 0.202 0.403
Li5 Li 0.711 0.417 0.000
Li6 Li 0.298 0.798 0.597
Li7 Li 0.916 0.103 0.750
Li8 Li 0.084 0.897 0.250
Ag1 Ag 0.500 0.000 0.000
Al1 Al 0.690 0.690 0.379
Al2 Al 0.310 0.310 0.621
```

Computed properties:
E: -2.350 eV per atom
distance to the lowest polymorph of the same formula: 74 meV per atom



Entry 4:
## LiAl2Ag2 (GGA-PBE)

Data for LiAl2Ag2 after structural relaxation.

Structure (CIF):
```
data_LiAl2Ag2
_chemical_formula_sum 'Li1 Al2 Ag2'
_cell_length_a 3.909
_cell_length_b 3.909
_cell_length_c 6.930
_cell_angle_alpha 73.62
_cell_angle_beta 73.62
_cell_angle_gamma 90.00
_space_group_name_H-M_alt 'P 1'
_space_group_IT_number 1
loop_
_space_group_symop_operation_xyz
'x,y,z'
loop_
_atom_site_label
_atom_site_type_symbol
_atom_site_fract_x
_atom_site_fract_y
_atom_site_fract_z
Al1 Al 0.750 0.250 0.500
Al2 Al 0.250 0.750 0.500
Ag1 Ag 0.607 0.607 0.786
Ag2 Ag 0.393 0.393 0.214
Li1 Li 0.000 0.000 0.000
```

Computed properties:
E: -3.016 eV per atom
distance to the lowest polymorph of the same formula: 137 meV per atom



Entry 5:
## Li2Al6Ag (GGA-PBE)

Data for Li2Al6Ag after structural relaxation.

Structure (CIF):
```
data_Li2Al6Ag
_chemical_formula_sum 'Li2 Al6 Ag1'
_cell_length_a 4.631
_cell_length_b 7.691
_cell_length_c 6.206
_cell_angle_alpha 128.29
_cell_angle_beta 111.92
_cell_angle_gamma 90.00
_space_group_name_H-M_alt 'P 1'
_space_group_IT_number 1
loop_
_space_group_symop_operation_xyz
'x,y,z'
loop_
_atom_site_label
_atom_site_type_symbol
_atom_site_fract_x
_atom_site_fract_y
_atom_site_fract_z
Li1 Li 0.668 0.668 0.336
Li2 Li 0.332 0.332 0.664
Al1 Al 0.500 0.186 0.000
Al2 Al 0.167 0.853 0.335
Al3 Al 0.833 0.518 0.665
Al4 Al 0.833 0.147 0.665
Al5 Al 0.167 0.482 0.335
Al6 Al 0.500 0.814 0.000
Ag1 Ag 0.000 0.000 0.000
```

Computed properties:
E: -3.247 eV per atom
distance to the lowest polymorph of the same formula: 76 meV per atom



Entry 6:
## Li2Al2Ag (GGA-PBE)

Data for Li2Al2Ag after structural relaxation.

Structure (CIF):
```
data_Li2Al2Ag
_chemical_formula_sum 'Li2 Al2 Ag1'
_cell_length_a 4.425
_cell_length_b 4.419
_cell_length_c 5.229
_cell_angle_alpha 64.76
_cell_angle_beta 64.97
_cell_angle_gamma 59.96
_space_group_name_H-M_alt 'P 1'
_space_group_IT_number 1
loop_
_space_group_symop_operation_xyz
'x,y,z'
loop_
_atom_site_label
_atom_site_type_symbol
_atom_site_fract_x
_atom_site_fract_y
_atom_site_fract_z
Al1 Al 0.398 0.398 0.805
Al2 Al 0.602 0.602 0.195
Li1 Li 0.196 0.197 0.410
Li2 Li 0.804 0.803 0.590
Ag1 Ag 0.000 0.000 0.000
```

Computed properties:
E: -3.057 eV per atom
distance to the lowest polymorph of the same formula: 0 meV per atom



Entry 7:
## Li3AlAg (GGA-PBE)

Data for Li3AlAg after structural relaxation.

Structure (CIF):
```
data_Li3AlAg
_chemical_formula_sum 'Li3 Al1 Ag1'
_cell_length_a 4.874
_cell_length_b 4.874
_cell_length_c 4.874
_cell_angle_alpha 90.00
_cell_angle_beta 90.00
_cell_angle_gamma 90.00
_space_group_name_H-M_alt 'P 1'
_space_group_IT_number 1
loop_
_space_group_symop_operation_xyz
'x,y,z'
loop_
_atom_site_label
_atom_site_type_symbol
_atom_site_fract_x
_atom_site_fract_y
_atom_site_fract_z
Al1 Al 0.000 0.000 0.000
Ag1 Ag 0.500 0.500 0.500
Li1 Li 0.000 0.500 0.000
Li2 Li 0.500 0.000 0.000
Li3 Li 0.000 0.000 0.500
```

Computed properties:
E: -2.019 eV per atom
distance to the lowest polymorph of the same formula: 637 meV per atom



Entry 8:
## Li3Al4Ag (GGA-PBE)

Data for Li3Al4Ag after structural relaxation.

Structure (CIF):
```
data_Li3Al4Ag
_chemical_formula_sum 'Li3 Al4 Ag1'
_cell_length_a 2.848
_cell_length_b 5.056
_cell_length_c 9.488
_cell_angle_alpha 105.49
_cell_angle_beta 81.84
_cell_angle_gamma 90.40
_space_group_name_H-M_alt 'P 1'
_space_group_IT_number 1
loop_
_space_group_symop_operation_xyz
'x,y,z'
loop_
_atom_site_label
_atom_site_type_symbol
_atom_site_fract_x
_atom_site_fract_y
_atom_site_fract_z
Al1 Al 0.751 0.246 0.500
Al2 Al 0.126 0.563 0.749
Al3 Al 0.249 0.754 0.500
Al4 Al 0.874 0.437 0.251
Li1 Li 0.623 0.062 0.755
Li2 Li 0.500 0.500 0.000
Li3 Li 0.377 0.938 0.245
Ag1 Ag 0.000 0.000 0.000
```

Computed properties:
E: -3.073 eV per atom



Entry 9:
## Li6AlAg2 (GGA-PBE)

Data for Li6AlAg2 after structural relaxation.

Structure (CIF):
```
data_Li6AlAg2
_chemical_formula_sum 'Li6 Al1 Ag2'
_cell_length_a 4.588
_cell_length_b 4.588
_cell_length_c 9.469
_cell_angle_alpha 75.98
_cell_angle_beta 75.98
_cell_angle_gamma 60.00
_space_group_name_H-M_alt 'P 1'
_space_group_IT_number 1
loop_
_space_group_symop_operation_xyz
'x,y,z'
loop_
_atom_site_label
_atom_site_type_symbol
_atom_site_fract_x
_atom_site_fract_y
_atom_site_fract_z
Li1 Li 0.594 0.594 0.218
Li2 Li 0.699 0.699 0.902
Li3 Li 0.301 0.301 0.098
Li4 Li 0.406 0.406 0.782
Li5 Li 0.194 0.194 0.417
Li6 Li 0.806 0.806 0.583
Ag1 Ag 0.906 0.906 0.281
Ag2 Ag 0.094 0.094 0.719
Al1 Al 0.000 0.000 0.000
```

Computed properties:
E: -2.428 eV per atom
distance to the lowest polymorph of the same formula: 53 meV per atom



Entry 10:
## LiAl3Ag (GGA-PBE)

Data for LiAl3Ag after structural relaxation.

Structure (CIF):
```
data_LiAl3Ag
_chemical_formula_sum 'Li1 Al3 Ag1'
_cell_length_a 4.930
_cell_length_b 4.930
_cell_length_c 4.930
_cell_angle_alpha 90.00
_cell_angle_beta 90.00
_cell_angle_gamma 90.00
_space_group_name_H-M_alt 'P 1'
_space_group_IT_number 1
loop_
_space_group_symop_operation_xyz
'x,y,z'
loop_
_atom_site_label
_atom_site_type_symbol
_atom_site_fract_x
_atom_site_fract_y
_atom_site_fract_z
Al1 Al 0.000 0.500 0.000
Al2 Al 0.500 0.000 0.000
Al3 Al 0.000 0.000 0.500
Li1 Li 0.500 0.500 0.500
Ag1 Ag 0.000 0.000 0.000
```

Computed properties:
E: -2.750 eV per atom
distance to the lowest polymorph of the same formula: 561 meV per atom



| no. | E_form (kJ per mole of atoms) |
| --- | --- |
| 1 | -16.5 |
| 2 | -6.4 |
| 3 | -1.8 |
| 4 | 0.4 |
| 5 | -0.9 |
| 6 | -21.7 |
| 7 | 43.3 |
| 8 | -12.3 |
| 9 | -9.9 |
| 10 | 43.3 |